(1)
# Cs2KInI5, relaxed, DFT GGA-PBE
data_Cs2KInI5
_chemical_formula_sum 'Cs8 K4 In4 I20'
_symmetry_space_group_name_H-M 'C m c 21'
_symmetry_Int_Tables_number 36
_cell_length_a 5.577
_cell_length_b 21.412
_cell_length_c 15.395
_cell_angle_alpha 90.00
_cell_angle_beta 90.00
_cell_angle_gamma 90.00
loop_
_symmetry_equiv_pos_as_xyz
'x,y,z'
'-x,-y,z+1/2'
'-x,y,z'
'x,-y,z+1/2'
'x+1/2,y+1/2,z'
'-x+1/2,-y+1/2,z+1/2'
'-x+1/2,y+1/2,z'
'x+1/2,-y+1/2,z+1/2'
loop_
_atom_site_label
_atom_site_type_symbol
_atom_site_fract_x
_atom_site_fract_y
_atom_site_fract_z
Cs1 Cs 0.000 0.116 0.000
Cs2 Cs 0.000 0.142 0.633
K1 K 0.000 0.211 0.334
In1 In 0.000 0.466 0.755
I1 I 0.000 0.037 0.319
I2 I 0.000 0.293 0.978
I3 I 0.000 0.329 0.686
I4 I 0.000 0.376 0.315
I5 I 0.000 0.489 0.077
# total moment: 0.000 μB per atom
# uncorrected formation energy: -112.4 kJ per mole of atoms
# N(E_F): 5.29 states/eV/cell

(2)
# LiV3I, relaxed, DFT GGA-PBE
data_LiV3I
_chemical_formula_sum 'Li1 V3 I1'
_symmetry_space_group_name_H-M 'P m -3 m'
_symmetry_Int_Tables_number 221
_symmetry_space_group_name_Hall '-P 4 2 3'
_cell_length_a 4.325
_cell_length_b 4.325
_cell_length_c 4.325
_cell_angle_alpha 90.00
_cell_angle_beta 90.00
_cell_angle_gamma 90.00
loop_
_atom_site_label
_atom_site_type_symbol
_atom_site_fract_x
_atom_site_fract_y
_atom_site_fract_z
Li1 Li 0.000 0.000 0.000
V1 V 0.000 0.000 0.500
I1 I 0.500 0.500 0.500
# offset from the most stable computed form: 0 meV per atom
# total moment: 0.553 μB per atom
# uncorrected formation energy: 133.4 kJ per mole of atoms
# N(E_F): 7.25 states/eV/cell

(3)
# Sr3SmZn4, relaxed, DFT GGA-PBE
data_Sr3SmZn4
_chemical_formula_sum 'Sr3 Sm1 Zn4'
_symmetry_space_group_name_H-M 'P 4/m m m'
_symmetry_Int_Tables_number 123
_symmetry_space_group_name_Hall '-P 4 2'
_cell_length_a 3.816
_cell_length_b 3.816
_cell_length_c 15.478
_cell_angle_alpha 90.00
_cell_angle_beta 90.00
_cell_angle_gamma 90.00
loop_
_atom_site_label
_atom_site_type_symbol
_atom_site_fract_x
_atom_site_fract_y
_atom_site_fract_z
Sr1 Sr 0.000 0.000 0.000
Sr2 Sr 0.000 0.000 0.259
Sm1 Sm 0.000 0.000 0.500
Zn1 Zn 0.500 0.500 0.129
Zn2 Zn 0.500 0.500 0.396
# total moment: 0.016 μB per atom
# energy relative to the elements: -210.2 meV/atom
# N(E_F): 5.85 states/eV/cell

(4)
# NaAsN2, relaxed, DFT GGA-PBE
data_NaAsN2
_chemical_formula_sum 'Na3 As3 N6'
_symmetry_space_group_name_H-M 'R -3 m'
_symmetry_Int_Tables_number 166
_symmetry_space_group_name_Hall '-R 3 2"'
_cell_length_a 3.9046
_cell_length_b 3.9046
_cell_length_c 17.6207
_cell_angle_alpha 90.00
_cell_angle_beta 90.00
_cell_angle_gamma 120.00
loop_
_atom_site_label
_atom_site_type_symbol
_atom_site_fract_x
_atom_site_fract_y
_atom_site_fract_z
Na1 Na 0.0000 0.0000 0.0000
As1 As 0.0000 0.0000 0.5000
N1 N 0.0000 0.0000 0.4052
# total moment: 0.000 μB per atom
# uncorrected formation energy: 66.3 kJ per mole of atoms
# N(E_F): 0.00 states/eV/cell

(5)
# BaRe2As, relaxed, DFT GGA-PBE
data_BaRe2As
_chemical_formula_sum 'Ba1 Re2 As1'
_symmetry_space_group_name_H-M 'P 4/m m m'
_symmetry_Int_Tables_number 123
_symmetry_space_group_name_Hall '-P 4 2'
_cell_length_a 4.066
_cell_length_b 4.066
_cell_length_c 5.160
_cell_angle_alpha 90.00
_cell_angle_beta 90.00
_cell_angle_gamma 90.00
loop_
_atom_site_label
_atom_site_type_symbol
_atom_site_fract_x
_atom_site_fract_y
_atom_site_fract_z
Ba1 Ba 0.000 0.000 0.000
Re1 Re 0.000 0.500 0.500
As1 As 0.500 0.500 0.000
# total moment: 0.000 μB per atom
# energy relative to the elements: 1400.0 meV/atom
# N(E_F): 3.55 states/eV/cell

(6)
# RbGeRu2S, relaxed, DFT GGA-PBE
data_RbGeRu2S
_chemical_formula_sum 'Rb1 Ge1 Ru2 S1'
_symmetry_space_group_name_H-M 'P 4/m m m'
_symmetry_Int_Tables_number 123
_symmetry_space_group_name_Hall '-P 4 2'
_cell_length_a 4.480
_cell_length_b 4.480
_cell_length_c 5.280
_cell_angle_alpha 90.00
_cell_angle_beta 90.00
_cell_angle_gamma 90.00
loop_
_atom_site_label
_atom_site_type_symbol
_atom_site_fract_x
_atom_site_fract_y
_atom_site_fract_z
Rb1 Rb 0.000 0.000 0.000
Ge1 Ge 0.500 0.500 0.000
Ru1 Ru 0.000 0.500 0.500
S1 S 0.500 0.500 0.500
# total moment: 0.165 μB per atom
# uncorrected formation energy: 67.2 kJ per mole of atoms
# N(E_F): 3.96 states/eV/cell

Question: Which of these has the lowest N(E_F)?
Answer: NaAsN2

Question: What is the total moment in the third record?
Answer: 0.016 μB per atom

Question: What is the N(E_F) in the sixth record?
Answer: 3.96 states/eV/cell

Question: What is the total moment in the first record?
Answer: 0.000 μB per atom